No. 1
Entry from Alexandria: crystalline LiAcSb2 at its relaxed geometry (PBE).

Lattice parameters (Å, degrees): 6.198 6.198 6.198 47.38 47.38 47.38
Element x y z (fractional)
Li: 0.000 0.000 0.000
Ac: 0.500 0.500 0.500
Sb: 0.275 0.275 0.275
Sb: 0.725 0.725 0.725

Properties
- Distance to the lowest polymorph of the same formula: 0.267 eV per atom
- Total magnetic moment: 0.0 μB/cell
- Final energy: -4.175 eV per atom
- Formation energy from raw total energies: -0.608 eV per atom

No. 2
Entry from Alexandria: crystalline SrLaRhAu at its relaxed geometry (PBE).

Lattice parameters (Å, degrees): 5.228 5.228 5.228 60.00 60.00 60.00
Element x y z (fractional)
Sr: 0.000 0.000 0.000
La: 0.500 0.500 0.500
Rh: 0.750 0.750 0.750
Au: 0.250 0.250 0.250

Properties
- Calculated formation energy: -2.35 eV/f.u.
- Distance to the lowest polymorph of the same formula: 0.084 eV per atom
- Total magnetic moment: 0.0 μB/cell
- Final energy: -4.896 eV per atom

No. 3
Entry from Alexandria: crystalline YAl2Tc at its relaxed geometry (PBE).

Lattice parameters (Å, degrees): 5.351 5.351 5.351 141.28 128.70 66.08
Element x y z (fractional)
Y: 0.000 0.000 0.000
Al: 0.480 0.480 0.000
Al: 0.727 0.227 0.500
Tc: 0.258 0.758 0.500

Properties
- Calculated formation energy: -0.38 eV/f.u.
- Distance to the lowest polymorph of the same formula: 0.246 eV per atom
- Total magnetic moment: 0.0 μB/cell
- Final energy: -6.173 eV per atom

No. 4
Entry from Alexandria: crystalline LaTe2As at its relaxed geometry (PBE).

Lattice parameters (Å, degrees): 4.290 4.290 6.210 90.00 90.00 90.00
Element x y z (fractional)
La: 0.000 0.000 0.000
Te: 0.500 0.500 0.255
Te: 0.500 0.500 0.745
As: 0.000 0.000 0.500

Properties
- Total magnetic moment: 0.0 μB/cell
- Final energy: -4.575 eV per atom
- Formation energy from raw total energies: -0.610 eV per atom

No. 5
Entry from Alexandria: crystalline LaNd5Sm2Dy at its relaxed geometry (PBE).

Lattice parameters (Å, degrees): 10.086 10.086 10.086 126.91 126.91 78.39
Element x y z (fractional)
La: 0.250 0.250 0.000
La: 0.750 0.750 0.000
Nd: 0.000 0.000 0.000
Nd: 0.070 0.570 0.912
Nd: 0.158 0.070 0.500
Nd: 0.342 0.842 0.912
Nd: 0.430 0.342 0.500
Nd: 0.500 0.500 0.000
Nd: 0.570 0.658 0.500
Nd: 0.658 0.158 0.088
Nd: 0.842 0.930 0.500
Nd: 0.930 0.430 0.088
Sm: 0.116 0.384 0.500
Sm: 0.384 0.884 0.269
Sm: 0.616 0.116 0.731
Sm: 0.884 0.616 0.500
Dy: 0.250 0.750 0.500
Dy: 0.750 0.250 0.500

Properties
- Calculated formation energy: 2.42 eV/f.u.
- Total magnetic moment: 0.0 μB/cell
- Final energy: -4.487 eV per atom

No. 6
Entry from Alexandria: crystalline Cs2Sn2Se5 at its relaxed geometry (PBE).

Lattice parameters (Å, degrees): 7.853 7.853 9.441 103.25 103.25 40.80
Element x y z (fractional)
Cs: 0.080 0.080 0.317
Cs: 0.920 0.920 0.683
Sn: 0.350 0.350 0.112
Sn: 0.650 0.650 0.888
Se: 0.170 0.170 0.976
Se: 0.412 0.412 0.387
Se: 0.500 0.500 0.000
Se: 0.588 0.588 0.613
Se: 0.830 0.830 0.024

Properties
- Distance to the lowest polymorph of the same formula: 0.003 eV per atom
- Total magnetic moment: 0.0 μB/cell
- Final energy: -3.636 eV per atom
- Formation energy from raw total energies: -0.621 eV per atom

No. 7
Entry from Alexandria: crystalline BRuRh at its relaxed geometry (PBE).

Lattice parameters (Å, degrees): 4.270 3.264 5.157 90.00 90.49 90.00
Element x y z (fractional)
B: 0.000 0.000 0.000
B: 0.491 0.500 0.579
Ru: 0.159 0.500 0.232
Ru: 0.488 0.000 0.851
Rh: 0.663 0.000 0.346
Rh: 0.986 0.500 0.723

Properties
- Calculated formation energy: -0.44 eV/f.u.
- Total magnetic moment: 0.0 μB/cell
- Final energy: -7.916 eV per atom

No. 8
Entry from Alexandria: crystalline Tl2NiHS2 at its relaxed geometry (PBE).

Lattice parameters (Å, degrees): 9.274 9.274 9.274 145.51 47.54 148.31
Element x y z (fractional)
Tl: 0.164 0.236 0.400
Tl: 0.336 0.736 0.072
Tl: 0.664 0.264 0.928
Tl: 0.836 0.764 0.600
Ni: 0.250 0.250 0.000
Ni: 0.750 0.750 0.000
H: 0.250 0.750 0.500
H: 0.750 0.250 0.500
S: 0.066 0.720 0.786
S: 0.434 0.220 0.654
S: 0.566 0.780 0.346
S: 0.934 0.280 0.214

Properties
- Total magnetic moment: 1.9 μB/cell
- Final energy: -3.649 eV per atom

Calculated values (states/eV per atom) of Fermi-level density of states for the records, taken in order: 1.01, 0.37, 0.59, 0.82, 1.53, 0.29, 0.67, 0.62.